[1]
Entry from Alexandria via LeMat-Bulk: crystalline Al2Si2Sb at its relaxed geometry (GGA-PBE).

```
data_Al2Si2Sb
_symmetry_space_group_name_H-M 'P 1'
_symmetry_Int_Tables_number 1
_symmetry_space_group_name_Hall 'P 1'
_cell_length_a 7.840
_cell_length_b 7.840
_cell_length_c 2.986
_cell_angle_alpha 90.00
_cell_angle_beta 90.00
_cell_angle_gamma 90.00
loop_
_atom_site_label
_atom_site_type_symbol
_atom_site_fract_x
_atom_site_fract_y
_atom_site_fract_z
Al1 Al 0.136 0.364 0.000
Al2 Al 0.364 0.864 0.000
Al3 Al 0.636 0.136 0.000
Al4 Al 0.864 0.636 0.000
Si1 Si 0.158 0.658 0.500
Si2 Si 0.342 0.158 0.500
Si3 Si 0.658 0.842 0.500
Si4 Si 0.842 0.342 0.500
Sb1 Sb 0.000 0.000 0.500
Sb2 Sb 0.500 0.500 0.500
```

[2]
# AlSi2Sb GGA-PBE optimized geometry
data_AlSi2Sb
_symmetry_space_group_name_H-M 'P 1'
_symmetry_Int_Tables_number 1
_symmetry_space_group_name_Hall 'P 1'
_cell_length_a 4.638
_cell_length_b 4.638
_cell_length_c 3.580
_cell_angle_alpha 90.00
_cell_angle_beta 90.00
_cell_angle_gamma 99.94
loop_
_atom_site_label
_atom_site_type_symbol
_atom_site_fract_x
_atom_site_fract_y
_atom_site_fract_z
Al1 Al 0.000 0.000 0.000
Si1 Si 0.000 0.500 0.500
Si2 Si 0.500 0.000 0.500
Sb1 Sb 0.500 0.500 0.000
# Energy above the lowest structure with this stoichiometry = 0.295 eV/atom

[3]
# AlSi2Sb GGA-PBE optimized geometry
data_AlSi2Sb
_symmetry_space_group_name_H-M 'P 1'
_symmetry_Int_Tables_number 1
_symmetry_space_group_name_Hall 'P 1'
_cell_length_a 5.743
_cell_length_b 5.647
_cell_length_c 3.947
_cell_angle_alpha 71.03
_cell_angle_beta 68.43
_cell_angle_gamma 40.54
loop_
_atom_site_label
_atom_site_type_symbol
_atom_site_fract_x
_atom_site_fract_y
_atom_site_fract_z
Al1 Al 0.000 0.000 0.000
Si1 Si 0.000 0.500 0.500
Si2 Si 0.500 0.000 0.000
Sb1 Sb 0.500 0.500 0.500
# Energy above the lowest structure with this stoichiometry = 0.173 eV/atom

[4]
# AlSiSbTe2 GGA-PBE optimized geometry
data_AlSiSbTe2
_symmetry_space_group_name_H-M 'P 1'
_symmetry_Int_Tables_number 1
_symmetry_space_group_name_Hall 'P 1'
_cell_length_a 5.281
_cell_length_b 5.281
_cell_length_c 5.249
_cell_angle_alpha 90.00
_cell_angle_beta 90.00
_cell_angle_gamma 90.00
loop_
_atom_site_label
_atom_site_type_symbol
_atom_site_fract_x
_atom_site_fract_y
_atom_site_fract_z
Al1 Al 0.000 0.000 0.000
Si1 Si 0.500 0.500 0.500
Sb1 Sb 0.000 0.000 0.500
Te1 Te 0.000 0.500 0.000
Te2 Te 0.500 0.000 0.000
# Energy above the lowest structure with this stoichiometry = 0.129 eV/atom

[5]
# AlSiSbTe2 GGA-PBE optimized geometry
data_AlSiSbTe2
_symmetry_space_group_name_H-M 'P 1'
_symmetry_Int_Tables_number 1
_symmetry_space_group_name_Hall 'P 1'
_cell_length_a 5.290
_cell_length_b 5.290
_cell_length_c 5.256
_cell_angle_alpha 90.00
_cell_angle_beta 90.00
_cell_angle_gamma 90.00
loop_
_atom_site_label
_atom_site_type_symbol
_atom_site_fract_x
_atom_site_fract_y
_atom_site_fract_z
Al1 Al 0.000 0.000 0.000
Si1 Si 0.500 0.500 0.500
Sb1 Sb 0.500 0.500 0.000
Te1 Te 0.000 0.500 0.500
Te2 Te 0.500 0.000 0.500
# Energy above the lowest structure with this stoichiometry = 0.000 eV/atom

[6]
Entry from Alexandria via LeMat-Bulk: crystalline Sm3AlSb at its relaxed geometry (GGA-PBE).

```
data_Sm3AlSb
_symmetry_space_group_name_H-M 'P 1'
_symmetry_Int_Tables_number 1
_symmetry_space_group_name_Hall 'P 1'
_cell_length_a 8.349
_cell_length_b 8.349
_cell_length_c 8.682
_cell_angle_alpha 93.51
_cell_angle_beta 93.51
_cell_angle_gamma 29.09
loop_
_atom_site_label
_atom_site_type_symbol
_atom_site_fract_x
_atom_site_fract_y
_atom_site_fract_z
Sm1 Sm 0.046 0.046 0.195
Sm2 Sm 0.240 0.240 0.814
Sm3 Sm 0.406 0.406 0.440
Sm4 Sm 0.594 0.594 0.560
Sm5 Sm 0.760 0.760 0.186
Sm6 Sm 0.954 0.954 0.805
Al1 Al 0.211 0.211 0.433
Al2 Al 0.789 0.789 0.567
Sb1 Sb 0.393 0.393 0.069
Sb2 Sb 0.607 0.607 0.931
```

[7]
Entry from Alexandria via LeMat-Bulk: crystalline Sm8AlSb2 at its relaxed geometry (GGA-PBE).

```
data_Sm8AlSb2
_symmetry_space_group_name_H-M 'P 1'
_symmetry_Int_Tables_number 1
_symmetry_space_group_name_Hall 'P 1'
_cell_length_a 10.060
_cell_length_b 10.060
_cell_length_c 6.954
_cell_angle_alpha 101.63
_cell_angle_beta 101.63
_cell_angle_gamma 29.38
loop_
_atom_site_label
_atom_site_type_symbol
_atom_site_fract_x
_atom_site_fract_y
_atom_site_fract_z
Sm1 Sm 0.017 0.017 0.270
Sm2 Sm 0.216 0.216 0.836
Sm3 Sm 0.341 0.341 0.482
Sm4 Sm 0.408 0.408 0.018
Sm5 Sm 0.592 0.592 0.982
Sm6 Sm 0.659 0.659 0.518
Sm7 Sm 0.784 0.784 0.164
Sm8 Sm 0.983 0.983 0.730
Al1 Al 0.500 0.500 0.500
Sb1 Sb 0.179 0.179 0.267
Sb2 Sb 0.821 0.821 0.733
```

[8]
Entry from Alexandria via LeMat-Bulk: crystalline Sm7Al2Sb2 at its relaxed geometry (GGA-PBE).

```
data_Sm7Al2Sb2
_symmetry_space_group_name_H-M 'P 1'
_symmetry_Int_Tables_number 1
_symmetry_space_group_name_Hall 'P 1'
_cell_length_a 7.194
_cell_length_b 7.194
_cell_length_c 7.108
_cell_angle_alpha 90.00
_cell_angle_beta 90.00
_cell_angle_gamma 102.64
loop_
_atom_site_label
_atom_site_type_symbol
_atom_site_fract_x
_atom_site_fract_y
_atom_site_fract_z
Sm1 Sm 0.000 0.000 0.000
Sm2 Sm 0.000 0.500 0.272
Sm3 Sm 0.000 0.500 0.728
Sm4 Sm 0.500 0.000 0.272
Sm5 Sm 0.500 0.000 0.728
Sm6 Sm 0.500 0.500 0.244
Sm7 Sm 0.500 0.500 0.756
Al1 Al 0.274 0.726 0.000
Al2 Al 0.726 0.274 0.000
Sb1 Sb 0.199 0.199 0.500
Sb2 Sb 0.801 0.801 0.500
```

| no. | E_form (uncorrected) (eV/atom) | DOS at the Fermi energy (states/eV per atom) |
| --- | --- | --- |
| 1 | 0.252 | 0.40 |
| 2 | 0.453 | 0.37 |
| 3 | 0.331 | 0.38 |
| 4 | 0.673 | 0.91 |
| 5 | 0.544 | 0.77 |
| 6 | -0.581 | 1.21 |
| 7 | -0.409 | 1.18 |
| 8 | -0.220 | 1.40 |